The following is a PBE-GGA calculation of crystalline Ac2Sc2Sn2C at its relaxed geometry, from the Alexandria database.

Lattice parameters (Å, degrees): 4.7215 4.7215 9.1988 104.87 104.87 90.00
With the nearest neighbours (Å) after each atom.
Atoms (fractional coordinates):
Sc 0.0000 0.5000 0.0000  2 C 2.36
Sc 0.5000 0.0000 0.0000  2 C 2.36
C 0.0000 0.0000 0.0000  4 Sc 2.36
Sn 0.6221 0.6221 0.2442  4 Sc 3.16, 4 Ac 3.40
Sn 0.3779 0.3779 0.7558  4 Sc 3.16, 4 Ac 3.40
Ac 0.1605 0.1605 0.3210  1 C 2.75
Ac 0.8395 0.8395 0.6790  1 C 2.75

Summary:
Space group   No. 139
Magnetic moment   0.0 Bohr magnetons per cell
Crystal system   tetragonal
Formation energy from the elements   -0.729 eV per atom
Electronic total energy   -6.17 eV/atom

=====

The following is a PBE-GGA calculation of crystalline TiBi2SbS at its relaxed geometry, from the Alexandria database.

Lattice parameters (Å, degrees): 5.3624 5.1406 5.3624 90.00 90.00 90.00
With the nearest neighbours (Å) after each atom.
Atoms (fractional coordinates):
Ti 0.0000 0.0000 0.0000  2 Sb 2.57, 4 Bi 2.68
Bi 0.5000 0.0000 0.0000  2 Ti 2.68
Bi 0.0000 0.0000 0.5000  2 Ti 2.68
Sb 0.0000 0.5000 0.0000  2 Ti 2.57
S 0.5000 0.5000 0.5000  8 Bi 3.71, 4 Sb 3.79

Summary:
Space group   No. 123
Magnetic moment   0.5 Bohr magnetons per cell
Crystal system   tetragonal
Electronic total energy   -4.43 eV/atom
Formation energy from raw total energies   1.7 eV per formula unit

=====

The following is a PBE-GGA calculation of crystalline Cs3VW at its relaxed geometry, from the Alexandria database.

Lattice parameters (Å, degrees): 6.3610 6.3610 6.3610 90.00 90.00 90.00
With the nearest neighbours (Å) after each atom.
Atoms (fractional coordinates):
Cs 0.5000 0.0000 0.0000  2 W 3.18
Cs 0.0000 0.5000 0.0000  2 W 3.18
Cs 0.0000 0.0000 0.5000  2 W 3.18
V 0.5000 0.5000 0.5000  12 Cs 4.50
W 0.0000 0.0000 0.0000  6 Cs 3.18

Summary:
Space group   No. 221
Magnetic moment   4.2 Bohr magnetons per cell
Crystal system   cubic
Formation energy from the elements   2.316 eV per atom
Electronic total energy   -2.61 eV/atom

=====

The following is a PBE-GGA calculation of crystalline BeNb2HIr at its relaxed geometry, from the Alexandria database.

Lattice parameters (Å, degrees): 4.0531 4.0531 3.8308 90.00 90.00 90.00
With the nearest neighbours (Å) after each atom.
Atoms (fractional coordinates):
Nb 0.0000 0.5000 0.0000  2 H 2.03
Nb 0.5000 0.0000 0.0000  2 H 2.03
Be 0.0000 0.0000 0.5000  2 H 1.92
Ir 0.5000 0.5000 0.5000  8 Nb 2.79, 4 Be 2.87
H 0.0000 0.0000 0.0000  2 Be 1.92, 4 Nb 2.03

Summary:
Space group   No. 123
Magnetic moment   0.0 Bohr magnetons per cell
Crystal system   tetragonal
Electronic total energy   -7.38 eV/atom

=====

The following is a PBE-GGA calculation of crystalline Sm6CdSe5 at its relaxed geometry, from the Alexandria database.

Lattice parameters (Å, degrees): 7.2985 7.2985 7.2804 99.58 99.58 119.85
With the nearest neighbours (Å) after each atom.
Atoms (fractional coordinates):
Se 0.1647 0.8353 0.5000  6 Sm 2.93-2.98
Se 0.3336 0.6664 0.0000  6 Sm 2.96-2.97
Se 0.8353 0.1647 0.5000  6 Sm 2.93-2.98
Se 0.6664 0.3336 0.0000  6 Sm 2.96-2.97
Se 0.5000 0.5000 0.5000  6 Sm 2.93-2.99
Cd 0.0000 0.0000 0.0000  6 Sm 3.03-3.04
Sm 0.7432 0.7432 0.2519  5 Se 2.93-2.98, 1 Cd 3.03
Sm 0.4258 0.0842 0.2541  5 Se 2.93-2.99, 1 Cd 3.04
Sm 0.0842 0.4258 0.2541  5 Se 2.93-2.99, 1 Cd 3.04
Sm 0.2568 0.2568 0.7481  5 Se 2.93-2.98, 1 Cd 3.03
Sm 0.9158 0.5742 0.7459  5 Se 2.93-2.99, 1 Cd 3.04
Sm 0.5742 0.9158 0.7459  5 Se 2.93-2.99, 1 Cd 3.04

Summary:
Space group   No. 12
Magnetic moment   0.0 Bohr magnetons per cell
Crystal system   monoclinic
Electronic total energy   -5.44 eV/atom
Formation energy from raw total energies   -18.6 eV per formula unit

=====

The following is a PBE-GGA calculation of crystalline BaMoPt2 at its relaxed geometry, from the Alexandria database.

Lattice parameters (Å, degrees): 4.5003 4.5003 6.3850 69.32 69.32 60.00
With the nearest neighbours (Å) after each atom.
Atoms (fractional coordinates):
Pt 0.5566 0.5566 0.3301  3 Mo 2.64, 3 Pt 2.76
Pt 0.9434 0.9434 0.1699  3 Mo 2.64, 3 Pt 2.76
Mo 0.2500 0.2500 0.2500  6 Pt 2.64
Ba 0.7500 0.7500 0.7500  8 Pt 3.38-3.57

Summary:
Space group   No. 166
Magnetic moment   0.0 Bohr magnetons per cell
Crystal system   trigonal
Formation energy from the elements   -0.258 eV per atom
Electronic total energy   -6.47 eV/atom
Relative energy among the computed polymorphs   0.000 eV per atom

=====

The following is a PBE-GGA calculation of crystalline Ti2B2Ru at its relaxed geometry, from the Alexandria database.

Lattice parameters (Å, degrees): 5.8719 5.8719 3.1956 90.00 90.00 90.00
With the nearest neighbours (Å) after each atom.
Atoms (fractional coordinates):
B 0.1092 0.3908 0.0000  1 B 1.81
B 0.8908 0.6092 0.0000  1 B 1.81
B 0.6092 0.1092 0.0000  1 B 1.81
B 0.3908 0.8908 0.0000  1 B 1.81
Ru 0.0000 0.0000 0.0000  4 B 2.38
Ru 0.5000 0.5000 0.0000  4 B 2.38
Ti 0.1774 0.6774 0.5000  6 B 2.36-2.39
Ti 0.3226 0.1774 0.5000  6 B 2.36-2.39
Ti 0.8226 0.3226 0.5000  6 B 2.36-2.39
Ti 0.6774 0.8226 0.5000  6 B 2.36-2.39

Summary:
Space group   No. 127
Magnetic moment   0.0 Bohr magnetons per cell
Crystal system   tetragonal
Formation energy from the elements   -0.881 eV per atom
Electronic total energy   -8.56 eV/atom

=====

The following is a PBE-GGA calculation of crystalline LiTiSi2 at its relaxed geometry, from the Alexandria database.

Lattice parameters (Å, degrees): 4.3579 4.3579 4.3579 60.00 60.00 60.00
With the nearest neighbours (Å) after each atom.
Atoms (fractional coordinates):
Si 0.2500 0.2500 0.2500  4 Ti 2.67, 4 Li 2.67
Si 0.7500 0.7500 0.7500  4 Li 2.67, 4 Ti 2.67
Li 0.0000 0.0000 0.0000  8 Si 2.67
Ti 0.5000 0.5000 0.5000  8 Si 2.67

Summary:
Space group   No. 225
Magnetic moment   0.7 Bohr magnetons per cell
Crystal system   cubic
Electronic total energy   -5.26 eV/atom
Formation energy from raw total energies   -0.4 eV per formula unit
Relative energy among the computed polymorphs   0.236 eV per atom

=====

What did the second record say?
The following is a PBE-GGA calculation of crystalline TiBi2SbS at its relaxed geometry, from the Alexandria database.

Lattice parameters (Å, degrees): 5.3624 5.1406 5.3624 90.00 90.00 90.00
With the nearest neighbours (Å) after each atom.
Atoms (fractional coordinates):
Ti 0.0000 0.0000 0.0000  2 Sb 2.57, 4 Bi 2.68
Bi 0.5000 0.0000 0.0000  2 Ti 2.68
Bi 0.0000 0.0000 0.5000  2 Ti 2.68
Sb 0.0000 0.5000 0.0000  2 Ti 2.57
S 0.5000 0.5000 0.5000  8 Bi 3.71, 4 Sb 3.79

Summary:
Space group   No. 123
Magnetic moment   0.5 Bohr magnetons per cell
Crystal system   tetragonal
Electronic total energy   -4.43 eV/atom
Formation energy from raw total energies   1.7 eV per formula unit

=====

> The lowest electronic total energy belongs to which entry?

Ti2B2Ru

=====

> What is the electronic total energy in the seventh record?

-8.56 eV/atom